(1)
Density functional theory data (PBEsol) for an optimized crystal structure of ZrZn16.

Unit cell a=6.812 b=6.812 c=11.563 alpha=90.00 beta=90.00 gamma=111.66
Fractional coordinates of all 34 atoms:
Zr (0.046, 0.954, 0.750)
Zr (0.954, 0.046, 0.250)
Zn (0.356, 0.981, 0.930)
Zn (0.644, 0.019, 0.430)
Zn (0.981, 0.356, 0.070)
Zn (0.019, 0.644, 0.570)
Zn (0.644, 0.019, 0.070)
Zn (0.356, 0.981, 0.570)
Zn (0.019, 0.644, 0.930)
Zn (0.981, 0.356, 0.430)
Zn (0.648, 0.758, 0.867)
Zn (0.352, 0.242, 0.367)
Zn (0.758, 0.648, 0.133)
Zn (0.242, 0.352, 0.633)
Zn (0.352, 0.242, 0.133)
Zn (0.648, 0.758, 0.633)
Zn (0.242, 0.352, 0.867)
Zn (0.758, 0.648, 0.367)
Zn (0.480, 0.195, 0.750)
Zn (0.520, 0.805, 0.250)
Zn (0.195, 0.480, 0.250)
Zn (0.805, 0.520, 0.750)
Zn (0.180, 0.820, 0.361)
Zn (0.820, 0.180, 0.861)
Zn (0.820, 0.180, 0.639)
Zn (0.180, 0.820, 0.139)
Zn (0.619, 0.381, 0.968)
Zn (0.381, 0.619, 0.468)
Zn (0.381, 0.619, 0.032)
Zn (0.619, 0.381, 0.532)
Zn (0.294, 0.706, 0.750)
Zn (0.706, 0.294, 0.250)
Zn (0.000, 0.000, 0.000)
Zn (0.000, 0.000, 0.500)

Results
Density of states at the Fermi level in states/eV/cell: 8.80
Energy relative to the elements in eV per atom: -0.088



(2)
Density functional theory data (PBEsol) for an optimized crystal structure of Ta2TlZn.

Unit cell a=2.869 b=4.310 c=5.696 alpha=90.00 beta=90.00 gamma=90.00
Fractional coordinates of all 4 atoms:
Ta (0.000, 0.000, 0.738)
Ta (0.000, 0.000, 0.262)
Tl (0.500, 0.500, 0.000)
Zn (0.500, 0.500, 0.500)

Results
Density of states at the Fermi level in states/eV/cell: 1.99
Energy relative to the elements in eV per atom: 0.292



(3)
Density functional theory data (PBEsol) for an optimized crystal structure of BeSbTe2.

Unit cell a=3.889 b=3.898 c=7.556 alpha=75.08 beta=75.09 gamma=60.07
Fractional coordinates of all 4 atoms:
Sb (0.500, 0.000, 0.000)
Te (0.270, 0.765, 0.696)
Te (0.730, 0.235, 0.304)
Be (0.000, 0.500, 0.500)

Results
Excess energy over the best structure of this formula in the dataset in meV/atom: 0
Density of states at the Fermi level in states/eV/cell: 1.32
ΔE_f (raw) in eV per atom: 0.079



(4)
Density functional theory data (PBEsol) for an optimized crystal structure of CeZn3.

Unit cell a=4.499 b=5.541 c=6.342 alpha=90.00 beta=90.00 gamma=113.95
Fractional coordinates of all 8 atoms:
Zn (0.702, 0.405, 0.250)
Zn (0.298, 0.595, 0.750)
Zn (0.120, 0.240, 0.444)
Zn (0.880, 0.760, 0.556)
Zn (0.120, 0.240, 0.056)
Zn (0.880, 0.760, 0.944)
Ce (0.599, 0.198, 0.750)
Ce (0.401, 0.802, 0.250)

Results
Density of states at the Fermi level in states/eV/cell: 7.94
Energy relative to the elements in eV per atom: -0.259



(5)
Density functional theory data (PBEsol) for an optimized crystal structure of Dy3TaO7.

Unit cell a=6.373 b=6.373 c=7.426 alpha=90.00 beta=90.00 gamma=110.81
Fractional coordinates of all 22 atoms:
Dy (0.062, 0.518, 0.750)
Dy (0.482, 0.938, 0.250)
Dy (0.000, 0.000, 0.000)
Dy (0.000, 0.000, 0.500)
Dy (0.518, 0.062, 0.750)
Dy (0.938, 0.482, 0.250)
Ta (0.500, 0.500, 0.000)
Ta (0.500, 0.500, 0.500)
O (0.154, 0.890, 0.750)
O (0.110, 0.846, 0.250)
O (0.564, 0.824, 0.963)
O (0.564, 0.824, 0.537)
O (0.176, 0.436, 0.037)
O (0.176, 0.436, 0.463)
O (0.584, 0.584, 0.250)
O (0.416, 0.416, 0.750)
O (0.824, 0.564, 0.963)
O (0.436, 0.176, 0.463)
O (0.824, 0.564, 0.537)
O (0.436, 0.176, 0.037)
O (0.846, 0.110, 0.250)
O (0.890, 0.154, 0.750)

Results
Excess energy over the best structure of this formula in the dataset in meV/atom: 24
Density of states at the Fermi level in states/eV/cell: 0.00
ΔE_f (raw) in eV per atom: -3.443



(6)
Density functional theory data (PBEsol) for an optimized crystal structure of Cr2NiAs.

Unit cell a=2.620 b=3.757 c=4.901 alpha=90.00 beta=101.31 gamma=90.00
Fractional coordinates of all 4 atoms:
As (0.500, 0.500, 0.500)
Cr (0.936, 0.000, 0.761)
Cr (0.064, 0.000, 0.239)
Ni (0.500, 0.500, 0.000)

Results
Density of states at the Fermi level in states/eV/cell: 5.10
Energy relative to the elements in eV per atom: 0.128



(7)
Density functional theory data (PBEsol) for an optimized crystal structure of Tl2V3O8.

Unit cell a=5.419 b=8.861 c=8.861 alpha=90.00 beta=90.00 gamma=90.00
Fractional coordinates of all 26 atoms:
Tl (0.761, 0.170, 0.670)
Tl (0.761, 0.830, 0.330)
Tl (0.761, 0.670, 0.830)
Tl (0.761, 0.330, 0.170)
V (0.292, 0.636, 0.136)
V (0.292, 0.364, 0.864)
V (0.292, 0.136, 0.364)
V (0.292, 0.864, 0.636)
V (0.313, 0.000, 0.000)
V (0.313, 0.500, 0.500)
O (0.402, 0.000, 0.500)
O (0.402, 0.500, 0.000)
O (0.989, 0.637, 0.137)
O (0.989, 0.363, 0.863)
O (0.989, 0.137, 0.363)
O (0.989, 0.863, 0.637)
O (0.411, 0.086, 0.190)
O (0.411, 0.914, 0.810)
O (0.411, 0.190, 0.914)
O (0.411, 0.414, 0.690)
O (0.411, 0.810, 0.086)
O (0.411, 0.586, 0.310)
O (0.411, 0.310, 0.414)
O (0.411, 0.690, 0.586)
O (0.017, 0.000, 0.000)
O (0.017, 0.500, 0.500)

Results
ΔE_f (raw) in eV per atom: -2.022



(8)
Density functional theory data (PBEsol) for an optimized crystal structure of SrTlOs2.

Unit cell a=2.907 b=4.463 c=6.364 alpha=90.00 beta=90.00 gamma=90.00
Fractional coordinates of all 4 atoms:
Os (0.000, 0.000, 0.687)
Os (0.000, 0.000, 0.313)
Sr (0.500, 0.500, 0.000)
Tl (0.500, 0.500, 0.500)

Results
Excess energy over the best structure of this formula in the dataset in meV/atom: 0
Density of states at the Fermi level in states/eV/cell: 4.33
Energy relative to the elements in eV per atom: 0.997



(9)
Density functional theory data (PBEsol) for an optimized crystal structure of TaHgIr2N.

Unit cell a=3.701 b=4.959 c=4.959 alpha=90.00 beta=90.00 gamma=90.00
Fractional coordinates of all 5 atoms:
N (0.500, 0.000, 0.000)
Ir (0.000, 0.000, 0.500)
Ir (0.000, 0.500, 0.000)
Hg (0.000, 0.000, 0.000)
Ta (0.500, 0.500, 0.500)

Results
Density of states at the Fermi level in states/eV/cell: 5.52
ΔE_f (raw) in eV per atom: 2.380



(10)
Density functional theory data (PBEsol) for an optimized crystal structure of KCd2Au.

Unit cell a=2.939 b=5.546 c=6.640 alpha=114.68 beta=102.78 gamma=90.00
Fractional coordinates of all 4 atoms:
K (0.500, 0.000, 0.000)
Au (0.000, 0.500, 0.000)
Cd (0.708, 0.708, 0.417)
Cd (0.292, 0.292, 0.583)

Results
Density of states at the Fermi level in states/eV/cell: 1.15
Energy relative to the elements in eV per atom: -0.080



(11)
Density functional theory data (PBEsol) for an optimized crystal structure of KBSCl2.

Unit cell a=3.637 b=5.179 c=5.179 alpha=90.00 beta=90.00 gamma=90.00
Fractional coordinates of all 5 atoms:
K (0.500, 0.500, 0.500)
B (0.000, 0.000, 0.000)
S (0.500, 0.000, 0.000)
Cl (0.000, 0.000, 0.500)
Cl (0.000, 0.500, 0.000)

Results
Excess energy over the best structure of this formula in the dataset in meV/atom: 0
Density of states at the Fermi level in states/eV/cell: 0.63
ΔE_f (raw) in eV per atom: -0.404



(12)
Density functional theory data (PBEsol) for an optimized crystal structure of BaY2S4.

Unit cell a=4.005 b=12.095 c=14.386 alpha=90.00 beta=90.00 gamma=90.00
Fractional coordinates of all 28 atoms:
Ba (0.750, 0.743, 0.662)
Ba (0.250, 0.257, 0.338)
Ba (0.750, 0.243, 0.838)
Ba (0.250, 0.757, 0.162)
Y (0.750, 0.578, 0.398)
Y (0.250, 0.422, 0.602)
Y (0.750, 0.078, 0.102)
Y (0.250, 0.922, 0.898)
Y (0.750, 0.570, 0.892)
Y (0.250, 0.430, 0.108)
Y (0.750, 0.070, 0.608)
Y (0.250, 0.930, 0.392)
S (0.250, 0.708, 0.835)
S (0.750, 0.292, 0.165)
S (0.250, 0.208, 0.665)
S (0.750, 0.792, 0.335)
S (0.250, 0.626, 0.522)
S (0.750, 0.374, 0.478)
S (0.250, 0.126, 0.978)
S (0.750, 0.874, 0.022)
S (0.750, 0.580, 0.078)
S (0.250, 0.420, 0.922)
S (0.750, 0.080, 0.422)
S (0.250, 0.920, 0.578)
S (0.750, 0.979, 0.782)
S (0.250, 0.021, 0.218)
S (0.750, 0.479, 0.718)
S (0.250, 0.521, 0.282)

Results
Density of states at the Fermi level in states/eV/cell: 0.00
ΔE_f (raw) in eV per atom: -2.192